Material: ZnFe2O4
Method: DFT, GGA+U
State: optimized geometry

Geometry as extended XYZ:
```
28
Lattice="2.921 0.000 0.000 0.000 9.046 0.000 0.000 0.000 10.344" Properties=species:S:1:pos:R:3 pbc="T T T"
Fe 2.191 8.263 4.157
Fe 0.730 5.306 9.329
Fe 0.730 0.571 1.251
Fe 2.191 3.952 6.423
Fe 0.730 5.094 3.922
Fe 2.191 8.475 9.094
Fe 2.191 3.740 1.015
Fe 0.730 0.783 6.187
O 2.191 1.048 4.821
O 0.730 3.475 9.993
O 2.191 6.394 3.370
O 0.730 4.111 2.207
O 0.730 7.175 8.543
O 2.191 4.935 8.137
O 2.191 5.571 0.352
O 0.730 0.845 9.608
O 2.191 8.201 0.736
O 0.730 7.998 5.524
O 0.730 8.634 2.965
O 2.191 0.412 7.380
O 0.730 2.652 6.974
O 0.730 5.368 5.908
O 2.191 3.678 4.436
O 2.191 1.871 1.802
Zn 2.191 6.760 6.770
Zn 2.191 2.237 8.746
Zn 0.730 6.809 1.598
Zn 0.730 2.286 3.574
```

## Properties
V = 9.763 A^3/atom
M_tot = 5.98 μB/f.u.
Space group = Pnma, No. 62
Final energy = -161.25 eV/cell
DOS(E_F) = 0.0 states/eV/cell
Energy relative to the lowest polymorph listed for this composition = 217 meV per atom